Here is a geometry-optimized Rb2SnWO6 structure from the Alexandria database. Energies are from PBE+U. Values from VASP.

Cell and atoms, written as Quantum ESPRESSO input:
```
&SYSTEM
  ibrav = 0, nat = 10, ntyp = 4
/
ATOMIC_SPECIES
Rb 85.47 Rb.upf
Sn 118.71 Sn.upf
W 183.84 W.upf
O 16.00 O.upf
CELL_PARAMETERS angstrom
-2.7174 2.7174 5.9102
2.7174 -2.7174 5.9102
2.7174 2.7174 -5.9102
ATOMIC_POSITIONS crystal
Rb 0.0000 0.5000 0.5000
Rb 0.5000 0.0000 0.5000
Sn 0.2470 0.2470 0.0000
W 0.7637 0.7637 0.0000
O 0.0475 0.0475 0.4865
O 0.0475 0.5610 0.0000
O 0.0838 0.0838 0.0000
O 0.5610 0.0475 0.0000
O 0.5610 0.5610 0.5135
O 0.6128 0.6128 0.0000
```

Total magnetic moment   0.000 μB per formula unit
Space group   I4mm
Theoretical density   5.4 Mg/m³
Raw total energy   -6.07 eV/atom